KCeIn2Br6: relaxed, GGA-PBE.

a b c (Å): 8.2180 8.2184 8.4903
angles (deg): 61.05 61.05 59.99
Site moments in Bohr magnetons follow the coordinates.
Sites, in units of the cell vectors:
K1 0.8135 0.8136 0.5594  0.00
Ce1 0.3215 0.3215 0.0355  0.99
In1 0.5239 0.5239 0.4282  0.00
In2 0.0181 0.0181 0.9458  0.00
Br1 0.5774 0.2004 0.2482  -0.01
Br2 0.2003 0.9740 0.2482  -0.01
Br3 0.9740 0.5774 0.2482  -0.01
Br4 0.4224 0.6811 0.7672  -0.01
Br5 0.6811 0.1292 0.7672  -0.01
Br6 0.1292 0.4224 0.7672  -0.01

Summary:
The value obtained for the total energy is -3.603 eV per atom. As for the total moment: 1.00 μB/f.u.

***

Ho2ErHfP4: relaxed, GGA-PBE.

a b c (Å): 3.8930 6.7523 6.7540
angles (deg): 109.26 90.00 90.00
Sites, in units of the cell vectors:
Ho1 0.5000 0.0000 0.5000
Ho2 0.0000 0.5000 0.5000
Er1 0.5000 0.5000 0.0000
Hf1 0.0000 0.0000 0.0000
P1 0.5000 0.2380 0.2372
P2 0.5000 0.7620 0.7628
P3 0.0000 0.2441 0.7576
P4 0.0000 0.7559 0.2424

Summary:
The value obtained for the total energy is -7.201 eV per atom. As for the total moment: 0.00 μB/f.u. The formation energy comes out at -1.54 eV per atom.

***

ScSiPd: relaxed, GGA-PBE.

a b c (Å): 4.0450 6.5876 7.5163
angles (deg): 90.00 90.00 90.00
Sites, in units of the cell vectors:
Sc1 0.7500 0.4851 0.1884
Sc2 0.2500 0.0149 0.6884
Sc3 0.7500 0.9851 0.3116
Sc4 0.2500 0.5149 0.8116
Si1 0.2500 0.7773 0.1130
Si2 0.2500 0.2773 0.3870
Si3 0.7500 0.2227 0.8870
Si4 0.7500 0.7227 0.6130
Pd1 0.2500 0.6640 0.4307
Pd2 0.2500 0.1640 0.0693
Pd3 0.7500 0.8360 0.9307
Pd4 0.7500 0.3360 0.5693

Summary:
The value obtained for the total energy is -6.626 eV per atom. As for the total moment: 0.00 μB/f.u.

***

Ca3MnTc: relaxed, GGA-PBE.

a b c (Å): 5.4069 5.4069 5.4069
angles (deg): 90.00 90.00 90.00
Site moments in Bohr magnetons follow the coordinates.
Sites, in units of the cell vectors:
Ca1 0.0000 0.5000 0.0000  0.01
Ca2 0.0000 0.0000 0.5000  0.01
Ca3 0.5000 0.0000 0.0000  0.00
Mn1 0.5000 0.5000 0.5000  0.65
Tc1 0.0000 0.0000 0.0000  -0.10

Summary:
The value obtained for the total energy is -3.742 eV per atom. As for the total moment: 0.77 μB/f.u. The calculation puts the energy above the most stable polymorph in this dataset at 20.8 kJ/mol of atoms. The formation energy comes out at 1.37 eV per atom.

***

Dy4HoErSe8: relaxed, GGA-PBE.

a b c (Å): 8.3979 8.3979 8.3934
angles (deg): 59.98 59.98 60.00
Sites, in units of the cell vectors:
Dy1 0.6247 0.6247 0.1259
Dy2 0.0001 0.4997 0.5001
Dy3 0.4997 0.0001 0.5001
Dy4 0.0001 0.0001 0.5001
Ho1 0.3752 0.3752 0.8744
Er1 0.0001 0.0001 0.9996
Se1 0.2413 0.7720 0.7453
Se2 0.7720 0.2413 0.7453
Se3 0.2413 0.2413 0.7453
Se4 0.2432 0.2432 0.2703
Se5 0.7592 0.2265 0.2551
Se6 0.2265 0.7592 0.2551
Se7 0.7592 0.7592 0.2551
Se8 0.7572 0.7572 0.7285

Summary:
The value obtained for the total energy is -5.669 eV per atom. As for the total moment: 0.00 μB/f.u.

***

TbPr6Y2Sc: relaxed, GGA-PBE.

a b c (Å): 9.0382 7.5719 6.4172
angles (deg): 126.15 99.86 90.00
Sites, in units of the cell vectors:
Tb1 0.0000 0.5000 0.0000
Pr1 0.4438 0.6584 0.3168
Pr2 0.2184 0.0862 0.7363
Pr3 0.7816 0.3499 0.2637
Pr4 0.2184 0.6501 0.7363
Pr5 0.7816 0.9138 0.2637
Pr6 0.5562 0.3416 0.6832
Y1 0.1400 0.1305 0.2611
Y2 0.8600 0.8695 0.7389
Sc1 0.5000 0.0000 0.0000

Summary:
The value obtained for the total energy is -5.043 eV per atom. As for the total moment: 0.00 μB/f.u. The formation energy comes out at 0.21 eV per atom.

***

RbIn5Hg3: relaxed, GGA-PBE.

a b c (Å): 4.7696 8.4218 14.5524
angles (deg): 90.00 90.00 106.45
Sites, in units of the cell vectors:
Rb1 0.8291 0.6583 0.7500
Rb2 0.1709 0.3417 0.2500
In1 0.8091 0.6182 0.4432
In2 0.1909 0.3818 0.9432
In3 0.0000 0.0000 0.5000
In4 0.0000 0.0000 0.0000
In5 0.4506 0.9012 0.1438
In6 0.5494 0.0988 0.8562
In7 0.5494 0.0988 0.6438
In8 0.8091 0.6182 0.0568
In9 0.1909 0.3818 0.5568
In10 0.4506 0.9012 0.3562
Hg1 0.3764 0.7529 0.9363
Hg2 0.8690 0.7380 0.2500
Hg3 0.3764 0.7529 0.5637
Hg4 0.6236 0.2471 0.4363
Hg5 0.1310 0.2620 0.7500
Hg6 0.6236 0.2471 0.0637

Summary:
The value obtained for the total energy is -1.796 eV per atom. As for the total moment: 0.00 μB/f.u. The formation energy comes out at -0.07 eV per atom.